DFT (PBE-GGA) results for NdGa2Sn2 after structural relaxation.

POSCAR file:
```
NdGa2Sn2
1.0
4.741 0.000 0.000
0.000 4.682 0.000
-2.370 0.000 10.750
Nd Ga Sn
2 4 4
direct
0.365 0.250 0.731 Nd
0.635 0.750 0.269 Nd
0.036 0.750 0.072 Ga
0.470 0.750 0.941 Ga
0.964 0.250 0.928 Ga
0.530 0.250 0.059 Ga
0.749 0.250 0.498 Sn
0.251 0.750 0.502 Sn
0.876 0.750 0.752 Sn
0.124 0.250 0.248 Sn
```

The uncorrected energy comes out at -4.146 eV/atom. As for the formation energy: -0.381 eV per atom.